Computed, not measured: a relaxed structure of Ga2Co at the PBE level of DFT.

Structure (CIF):
```
data_Ga2Co
_chemical_formula_sum 'Ga4 Co2'
_cell_length_a 3.153
_cell_length_b 3.153
_cell_length_c 8.088
_cell_angle_alpha 90.00
_cell_angle_beta 90.00
_cell_angle_gamma 90.00
_symmetry_space_group_name_H-M 'I 4/m m m'
_symmetry_Int_Tables_number 139
_symmetry_space_group_name_Hall '-I 4 2'
loop_
_atom_site_label
_atom_site_fract_x
_atom_site_fract_y
_atom_site_fract_z
_atom_site_occupancy
Ga1 0.000 0.000 0.159 1
Co1 0.000 0.000 0.500 1
```

=====

Computed, not measured: a relaxed structure of Th2Ni3Ge4Pd at the PBE level of DFT.

Structure (CIF):
```
data_Th2Ni3Ge4Pd
_chemical_formula_sum 'Th2 Ni3 Ge4 Pd1'
_cell_length_a 4.240
_cell_length_b 4.240
_cell_length_c 9.721
_cell_angle_alpha 90.00
_cell_angle_beta 90.00
_cell_angle_gamma 90.00
_symmetry_space_group_name_H-M 'P -4 m 2'
_symmetry_Int_Tables_number 115
loop_
_symmetry_equiv_pos_as_xyz
'x,y,z'
'y,-x,-z'
'-x,-y,z'
'-y,x,-z'
'-x,y,z'
'-y,-x,-z'
'x,-y,z'
'y,x,-z'
loop_
_atom_site_label
_atom_site_fract_x
_atom_site_fract_y
_atom_site_fract_z
_atom_site_occupancy
Th1 0.000 0.500 0.249 1
Ni1 0.000 0.500 0.882 1
Ni2 0.500 0.500 0.500 1
Ge1 0.000 0.000 0.000 1
Ge2 0.000 0.500 0.638 1
Ge3 0.500 0.500 0.000 1
Pd1 0.000 0.000 0.500 1
```

=====

Computed, not measured: a relaxed structure of DyEr4Hg4 at the PBE level of DFT.

Structure (CIF):
```
data_DyEr4Hg4
_chemical_formula_sum 'Dy2 Er8 Hg8'
_cell_length_a 9.475
_cell_length_b 9.475
_cell_length_c 5.468
_cell_angle_alpha 90.00
_cell_angle_beta 90.00
_cell_angle_gamma 90.00
_symmetry_space_group_name_H-M 'P 42/n'
_symmetry_Int_Tables_number 86
loop_
_symmetry_equiv_pos_as_xyz
'x,y,z'
'-x,-y,-z'
'-y,x+1/2,z+1/2'
'y,-x+1/2,-z+1/2'
'-x+1/2,-y+1/2,z'
'x+1/2,y+1/2,-z'
'y+1/2,-x,z+1/2'
'-y+1/2,x,-z+1/2'
loop_
_atom_site_label
_atom_site_fract_x
_atom_site_fract_y
_atom_site_fract_z
_atom_site_occupancy
Dy1 0.250 0.250 0.250 1
Er1 0.100 0.840 0.649 1
Hg1 0.045 0.146 0.853 1
```

=====

Computed, not measured: a relaxed structure of BaLaCd2Pb2 at the PBE level of DFT.

Structure (CIF):
```
data_BaLaCd2Pb2
_chemical_formula_sum 'Ba1 La1 Cd2 Pb2'
_cell_length_a 5.1587
_cell_length_b 5.1587
_cell_length_c 8.5443
_cell_angle_alpha 90.00
_cell_angle_beta 90.00
_cell_angle_gamma 120.00
_symmetry_space_group_name_H-M 'P -3 m 1'
_symmetry_Int_Tables_number 164
_symmetry_space_group_name_Hall '-P 3 2"'
loop_
_atom_site_label
_atom_site_fract_x
_atom_site_fract_y
_atom_site_fract_z
_atom_site_occupancy
Ba1 0.0000 0.0000 0.0000 1
La1 0.0000 0.0000 0.5000 1
Cd1 0.3333 0.6667 0.6774 1
Pb1 0.3333 0.6667 0.2573 1
```

=====

Formation energy from the elements (computed, kcal/mol of atoms): -3.23 -17.35 -5.65 -10.43
V (computed, Å³ per cell): 80.4 174.8 490.8 196.9
Total magnetization (computed, μB/cell): 0.79 0.00 0.00 0.00